# 1
Below is a geometry-optimized YReTc structure, with properties calculated at the PBE-GGA level.

Unit cell a=7.357 b=7.152 c=2.886 alpha=82.55 beta=74.56 gamma=22.89
Atoms (fractional coordinates):
Re 0.013 0.013 0.987
Tc 0.655 0.655 0.345
Y 0.332 0.332 0.668

Calculated values
**ΔE to the lowest computed polymorph**: 609 meV per atom
**Space group**: Fmm2 (42)
**DFT formation energy**: 0.441 eV/atom

# 2
Below is a geometry-optimized AsRhC2Cl structure, with properties calculated at the PBE-GGA level.

Unit cell a=3.860 b=5.087 c=3.860 alpha=90.00 beta=90.00 gamma=90.00
Last column: magnetic moment on the atom in μB.
Atoms (fractional coordinates):
As 0.000 0.000 0.000  0.00
Rh 0.000 0.500 0.000  0.06
C 0.000 0.000 0.500  0.08
C 0.500 0.000 0.000  0.05
Cl 0.500 0.500 0.500  0.02

Calculated values
**Space group**: P4/mmm (123)
**Uncorrected formation energy**: 46.0 kcal/mol of atoms

# 3
Below is a geometry-optimized Ni2CS structure, with properties calculated at the PBE-GGA level.

Unit cell a=5.836 b=3.036 c=10.784 alpha=90.00 beta=109.52 gamma=90.00
Atoms (fractional coordinates):
Ni 0.669 0.000 0.265
Ni 0.669 0.500 0.765
Ni 0.952 0.000 0.924
Ni 0.952 0.500 0.424
Ni 0.363 0.000 0.863
Ni 0.363 0.500 0.363
Ni 0.098 0.000 0.614
Ni 0.098 0.500 0.114
S 0.061 0.000 0.263
S 0.061 0.500 0.763
S 0.480 0.000 0.621
S 0.480 0.500 0.121
C 0.551 0.000 0.474
C 0.551 0.500 0.974
C 0.790 0.000 0.470
C 0.790 0.500 0.970

Calculated values
**ΔE to the lowest computed polymorph**: 73 meV per atom
**Space group**: Cm (8)
**Uncorrected formation energy**: 4.4 kcal/mol of atoms

# 4
Below is a geometry-optimized MgCdIn2Pd structure, with properties calculated at the PBE-GGA level.

Unit cell a=5.182 b=5.182 c=5.073 alpha=90.00 beta=90.00 gamma=90.00
Atoms (fractional coordinates):
Mg 0.000 0.000 0.500
Cd 0.500 0.500 0.500
Pd 0.000 0.000 0.000
In 0.000 0.500 0.000
In 0.500 0.000 0.000

Calculated values
**Space group**: P4/mmm (123)
**DFT formation energy**: -0.114 eV/atom

Record-wise total magnetic moment values, in μB/f.u.: 0.0 0.3 0.0 0.0